Compound: ScIr3
Source: Alexandria via LeMat-Bulk
Functional: GGA-PBE
Structure: optimized geometry

```
4
Lattice="4.622 -1.416 0.000 4.622 1.416 0.000 -0.861 0.000 4.742" Properties=species:S:1:pos:R:3 pbc="T T T"
Sc 0.000 0.000 0.000
Ir 1.641 0.000 3.481
Ir 4.192 0.000 2.371
Ir 6.742 0.000 1.261
```

Computed properties:
DOS at the Fermi energy = 2.34 states/eV/cell
E_form = -0.453 eV per atom
DFT total energy = -34.728 eV/f.u.